CaCePr2Te4, optimized geometry, DFT PBE; total DFT energy (no corrections) = -41.7 eV for the cell shown; E_form (uncorrected) = -1.460 eV per atom; N(E_F) = 9.83 states/eV/f.u.
1.0
7.823 0.000 0.000
0.000 4.489 0.000
-2.575 0.000 7.415
Ca Ce Pr Te
1 1 2 4
direct
0.000 0.000 0.000
0.000 0.500 0.500
0.500 0.000 0.500
0.500 0.500 0.000
0.243 0.500 0.245
0.245 0.000 0.751
0.755 0.000 0.249
0.757 0.500 0.755